Record 1
{
  "formula": "TbSc2AlO",
  "functional": "GGA-PBE",
  "state": "optimized geometry",
  "sg": "P4/mmm, No. 123",
  "raw_formation_energy_mev_per_atom": -1407,
  "dft_energy_ha_per_atom": -0.243,
  "cell": [[4.722, 0.000, 0.000], [0.000, 4.430, 0.000], [0.000, 0.000, 4.430]],
  "species": ["Tb", "Sc", "Sc", "Al", "O"],
  "frac_coords": [[0.500, 0.000, 0.000], [0.000, 0.000, 0.500], [0.000, 0.500, 0.000], [0.500, 0.500, 0.500], [0.000, 0.000, 0.000]]
}


Record 2
{
  "formula": "Nb2CoI",
  "functional": "GGA-PBE",
  "state": "optimized geometry",
  "sg": "Fm-3m, No. 225",
  "polymorph_energy_ev_per_atom": 0.0000,
  "raw_formation_energy_mev_per_atom": 594,
  "dft_energy_ha_per_atom": -0.243,
  "cell": [[0.000, 3.258, 3.258], [3.258, 0.000, 3.258], [3.258, 3.258, 0.000]],
  "species": ["I", "Nb", "Nb", "Co"],
  "frac_coords": [[0.500, 0.500, 0.500], [0.250, 0.250, 0.250], [0.750, 0.750, 0.750], [0.000, 0.000, 0.000]]
}


Record 3
{
  "formula": "PmTmTl2Se4",
  "functional": "GGA-PBE",
  "state": "optimized geometry",
  "sg": "P2/m, No. 10",
  "raw_formation_energy_mev_per_atom": -1375,
  "dft_energy_ha_per_atom": -0.179,
  "cell": [[-3.435, -1.191, -2.134], [0.029, -6.399, 3.525], [-4.513, 5.167, 4.381]],
  "species": ["Pm", "Tm", "Tl", "Tl", "Se", "Se", "Se", "Se"],
  "frac_coords": [[0.500, 0.500, 0.000], [0.000, 0.000, 0.000], [0.500, 0.000, 0.500], [0.000, 0.500, 0.500], [0.500, 0.226, 0.203], [0.500, 0.774, 0.797], [0.000, 0.256, 0.793], [0.000, 0.744, 0.207]]
}


Record 4
{
  "formula": "VCd2CoAg",
  "functional": "GGA-PBE",
  "state": "optimized geometry",
  "sg": "P4/mmm, No. 123",
  "dft_energy_ha_per_atom": -0.117,
  "cell": [[-4.645, 1.458, -1.912], [-0.651, -3.763, -1.288], [-2.251, -1.176, 4.573]],
  "species": ["V", "Co", "Ag", "Cd", "Cd"],
  "frac_coords": [[0.000, 0.000, 0.000], [0.000, 0.500, 0.000], [0.500, 0.500, 0.500], [0.000, 0.000, 0.500], [0.500, 0.000, 0.000]]
}


Record 5
{
  "formula": "Ga2PdI8",
  "functional": "GGA-PBE",
  "state": "optimized geometry",
  "sg": "C2/m, No. 12",
  "raw_formation_energy_mev_per_atom": -415,
  "dft_energy_ha_per_atom": -0.094,
  "cell": [[8.280, 0.198, -1.842], [0.289, 7.782, -0.364], [0.085, -0.198, 8.482]],
  "species": ["I", "I", "I", "I", "I", "I", "I", "I", "Pd", "Ga", "Ga"],
  "frac_coords": [[0.716, 0.171, 0.934], [0.934, 0.829, 0.716], [0.227, 0.353, 0.773], [0.773, 0.647, 0.227], [0.066, 0.171, 0.284], [0.284, 0.829, 0.066], [0.405, 0.791, 0.595], [0.595, 0.209, 0.405], [0.000, 0.000, 0.000], [0.231, 0.678, 0.769], [0.769, 0.322, 0.231]]
}


Record 6
{
  "formula": "La5SmSn2",
  "functional": "GGA-PBE",
  "state": "optimized geometry",
  "sg": "Cmcm, No. 63",
  "polymorph_energy_ev_per_atom": 0.1130,
  "dft_energy_ha_per_atom": -0.185,
  "cell": [[-1.438, 4.089, -0.626], [-3.415, -2.802, 4.859], [13.286, 6.694, 13.196]],
  "species": ["La", "La", "La", "La", "La", "La", "La", "La", "La", "La", "Sm", "Sm", "Sn", "Sn", "Sn", "Sn"],
  "frac_coords": [[0.963, 0.925, 0.884], [0.963, 0.925, 0.616], [0.359, 0.719, 0.477], [0.359, 0.719, 0.023], [0.584, 0.169, 0.250], [0.416, 0.831, 0.750], [0.641, 0.281, 0.523], [0.641, 0.281, 0.977], [0.037, 0.075, 0.116], [0.037, 0.075, 0.384], [0.691, 0.382, 0.750], [0.309, 0.618, 0.250], [0.755, 0.510, 0.369], [0.755, 0.510, 0.131], [0.245, 0.490, 0.631], [0.245, 0.490, 0.869]]
}


no.,density (g/cm3)
1,5.23
2,8.92
3,7.21
4,6.67
5,3.83
6,6.67